1.
Compound: PmSmGe
Source: the Alexandria database
Functional: PBE-GGA
Structure: optimized geometry

a b c (Å): 4.2724 4.7804 4.7804
angles (deg): 120.00 90.00 90.00
Last column: nearest neighbours and their distance in Å.
Atoms (fractional coordinates):
Sm  0.5845  0.3333  0.6667  3 Ge 2.91
Ge  0.3691  0.6667  0.3333  3 Sm 2.91, 3 Pm 3.09
Pm  0.0464  0.0000  0.0000  3 Ge 3.09, 3 Sm 3.39

Calculated values
ρ in g/cm3: 7.23
Energy of formation from the pure elements in meV/atom: -383
Symmetry: P3m1 (156)
Fermi-level density of states in states/eV/atom: 0.604
VASP energy in eV per atom: -5.08
Total magnetization in μB/cell: 0.00

2.
Compound: Pm8SmGe6
Source: the Alexandria database
Functional: PBE-GGA
Structure: optimized geometry

a b c (Å): 7.9470 7.9470 9.3284
angles (deg): 64.79 64.79 60.00
Last column: nearest neighbours and their distance in Å.
Atoms (fractional coordinates):
Pm  0.7847  0.1183  0.6448  3 Ge 2.90-2.91
Pm  0.2153  0.8817  0.3552  3 Ge 2.90-2.91
Pm  0.8817  0.5479  0.3552  3 Ge 2.90-2.91
Pm  0.1183  0.4521  0.6448  3 Ge 2.90-2.91
Pm  0.5479  0.2153  0.3552  3 Ge 2.90-2.91
Pm  0.4521  0.7847  0.6448  3 Ge 2.90-2.91
Pm  0.6667  0.6667  0.0000  6 Ge 3.15
Pm  0.3333  0.3333  0.0000  6 Ge 3.15
Ge  0.4021  0.0695  0.7917  5 Pm 2.90-3.15, 1 Sm 3.14
Ge  0.9305  0.2633  0.2083  5 Pm 2.90-3.15, 1 Sm 3.14
Ge  0.7367  0.4021  0.7917  5 Pm 2.90-3.15, 1 Sm 3.14
Ge  0.2633  0.5979  0.2083  5 Pm 2.90-3.15, 1 Sm 3.14
Ge  0.0695  0.7367  0.7917  5 Pm 2.90-3.15, 1 Sm 3.14
Ge  0.5979  0.9305  0.2083  5 Pm 2.90-3.15, 1 Sm 3.14
Sm  0.0000  0.0000  0.0000  6 Ge 3.14

Calculated values
ρ in g/cm3: 6.53
Energy of formation from the pure elements in meV/atom: -611
Symmetry: R-3 (148)
Fermi-level density of states in states/eV/atom: 0.573
VASP energy in eV per atom: -5.31
Total magnetization in μB/cell: 0.00

3.
Compound: Pm6SmGe4
Source: the Alexandria database
Functional: PBE-GGA
Structure: optimized geometry

a b c (Å): 4.0999 9.3224 9.3224
angles (deg): 120.00 90.00 90.00
Last column: nearest neighbours and their distance in Å.
Atoms (fractional coordinates):
Pm  0.5000  0.1959  0.8041  4 Ge 2.94-3.02
Pm  0.5000  0.1959  0.3918  4 Ge 2.94-3.02
Pm  0.5000  0.6082  0.8041  4 Ge 2.94-3.02
Pm  0.0000  0.5416  0.4584  5 Ge 3.20-3.36, 2 Pm 3.50
Pm  0.0000  0.9168  0.4584  5 Ge 3.20-3.36, 2 Pm 3.50
Pm  0.0000  0.5416  0.0832  5 Ge 3.20-3.36, 2 Pm 3.50
Ge  0.5000  0.8366  0.1634  6 Pm 2.94-3.20
Ge  0.5000  0.8366  0.6732  6 Pm 2.94-3.20
Ge  0.5000  0.3268  0.1634  6 Pm 2.94-3.20
Ge  0.0000  0.3333  0.6667  9 Pm 3.02-3.36
Sm  0.0000  0.0000  0.0000  6 Ge 3.34

Calculated values
ρ in g/cm3: 7.05
Energy of formation from the pure elements in meV/atom: -581
Symmetry: P-6m2 (187)
Fermi-level density of states in states/eV/atom: 1.154
VASP energy in eV per atom: -5.28
Total magnetization in μB/cell: 0.70

4.
Compound: PmSmSnGe
Source: the Alexandria database
Functional: PBE-GGA
Structure: optimized geometry

a b c (Å): 5.3354 5.3354 5.3354
angles (deg): 60.00 60.00 60.00
Last column: nearest neighbours and their distance in Å.
Atoms (fractional coordinates):
Sm  0.7500  0.7500  0.7500  4 Sn 3.27, 4 Ge 3.27
Pm  0.2500  0.2500  0.2500  4 Ge 3.27, 4 Sn 3.27
Sn  0.0000  0.0000  0.0000  4 Pm 3.27, 4 Sm 3.27
Ge  0.5000  0.5000  0.5000  4 Sm 3.27, 4 Pm 3.27

Calculated values
ρ in g/cm3: 7.53
Energy of formation from the pure elements in meV/atom: -545
Symmetry: F-43m (216)
Fermi-level density of states in states/eV/atom: 1.294
VASP energy in eV per atom: -5.07
Total magnetization in μB/cell: 0.00

5.
Compound: PmSmZnGe
Source: the Alexandria database
Functional: PBE-GGA
Structure: optimized geometry

a b c (Å): 5.1413 5.1413 5.1413
angles (deg): 60.00 60.00 60.00
Last column: nearest neighbours and their distance in Å.
Atoms (fractional coordinates):
Zn  0.7500  0.7500  0.7500  4 Sm 3.15, 4 Pm 3.15
Pm  0.0000  0.0000  0.0000  4 Ge 3.15, 4 Zn 3.15
Sm  0.5000  0.5000  0.5000  4 Zn 3.15, 4 Ge 3.15
Ge  0.2500  0.2500  0.2500  4 Pm 3.15, 4 Sm 3.15

Calculated values
ρ in g/cm3: 7.49
Energy of formation from the pure elements in meV/atom: -526
Symmetry: F-43m (216)
Fermi-level density of states in states/eV/atom: 0.724
VASP energy in eV per atom: -4.37
Total magnetization in μB/cell: 0.00

6.
Compound: PmSm2Zn2Ge2
Source: the Alexandria database
Functional: PBE-GGA
Structure: optimized geometry

a b c (Å): 4.1824 4.1824 11.6577
angles (deg): 79.67 79.67 60.00
Last column: nearest neighbours and their distance in Å.
Atoms (fractional coordinates):
Sm  0.1225  0.1225  0.6324  3 Ge 3.15, 3 Zn 3.21
Sm  0.8775  0.8775  0.3676  3 Ge 3.15, 3 Zn 3.21
Zn  0.6061  0.6061  0.1818  3 Ge 2.42
Zn  0.3939  0.3939  0.8182  3 Ge 2.42
Ge  0.2699  0.2699  0.1902  3 Zn 2.42
Ge  0.7301  0.7301  0.8098  3 Zn 2.42
Pm  0.0000  0.0000  0.0000  6 Zn 3.18, 6 Ge 3.25

Calculated values
ρ in g/cm3: 6.94
Energy of formation from the pure elements in meV/atom: -483
Symmetry: R-3m (166)
Fermi-level density of states in states/eV/atom: 1.161
VASP energy in eV per atom: -4.19
Total magnetization in μB/cell: 0.05

7.
Compound: PmSmZnGe
Source: the Alexandria database
Functional: PBE-GGA
Structure: optimized geometry

a b c (Å): 4.3222 4.1892 5.9604
angles (deg): 90.00 111.26 90.00
Last column: nearest neighbours and their distance in Å.
Atoms (fractional coordinates):
Zn  0.5718  0.5000  0.1436  2 Ge 2.65
Ge  0.4261  0.0000  0.8522  2 Zn 2.65
Pm  0.8598  0.5000  0.7196  4 Ge 3.10, 3 Zn 3.20
Sm  0.1423  0.0000  0.2845  4 Zn 3.11, 3 Ge 3.15-3.23

Calculated values
ρ in g/cm3: 7.16
Energy of formation from the pure elements in meV/atom: -594
Symmetry: Amm2 (38)
Fermi-level density of states in states/eV/atom: 1.038
VASP energy in eV per atom: -4.43
Total magnetization in μB/cell: 0.55

8.
Compound: Pm4SnGe
Source: the Alexandria database
Functional: PBE-GGA
Structure: optimized geometry

a b c (Å): 5.1380 5.1379 8.9577
angles (deg): 73.30 73.30 60.00
Last column: nearest neighbours and their distance in Å.
Atoms (fractional coordinates):
Pm  0.8797  0.8798  0.3608  1 Ge 3.05, 3 Sn 3.19
Pm  0.1203  0.1202  0.6392  1 Ge 3.05, 3 Sn 3.19
Pm  0.3711  0.3711  0.8870  3 Ge 3.12, 1 Sn 3.27
Pm  0.6289  0.6289  0.1130  3 Ge 3.12, 1 Sn 3.27
Ge  0.0000  0.0000  0.0000  8 Pm 3.05-3.12
Sn  0.5000  0.5000  0.5000  8 Pm 3.19-3.27

Calculated values
ρ in g/cm3: 6.63
Energy of formation from the pure elements in meV/atom: -480
Symmetry: R-3m (166)
Fermi-level density of states in states/eV/atom: 1.151
VASP energy in eV per atom: -5.08
Total magnetization in μB/cell: 0.00